one.
Material: VTcS3
Method: DFT, PBE
State: relaxed

Values from the calculation:
DOS(E_F) in states/eV/atom: 0.86
Total moment in μB per formula unit: 4.67
SG: No. 221

Geometry as extended XYZ:
```
5
Lattice="-1.689 1.613 3.931 3.537 -1.810 2.262 2.354 3.877 -0.580" Properties=species:S:1:pos:R:3 pbc="T T T"
S 1.177 1.938 -0.290
S 1.769 -0.905 1.131
V 0.000 0.000 0.000
S -0.844 0.807 1.966
Tc 2.102 1.840 2.807
```

***

two.
Material: VTcS3
Method: DFT, PBE
State: relaxed

Values from the calculation:
DOS(E_F) in states/eV/atom: 0.93
Total moment in μB per formula unit: 4.32
SG: No. 221

Geometry as extended XYZ:
```
5
Lattice="4.635 0.000 0.000 0.000 4.635 0.000 0.000 0.000 4.635" Properties=species:S:1:pos:R:3 pbc="T T T"
S 0.000 2.317 0.000
S 2.317 0.000 0.000
V 2.317 2.317 2.317
S 0.000 0.000 2.317
Tc 0.000 0.000 0.000
```

***

Stability, lowest: two

***

one.
Material: TcWS2
Method: DFT, PBE
State: relaxed

Values from the calculation:
DOS(E_F) in states/eV/atom: 0.59
Total moment in μB per formula unit: 0.00
SG: No. 225

Geometry as extended XYZ:
```
4
Lattice="0.000 2.997 2.997 2.997 0.000 2.997 2.997 2.997 0.000" Properties=species:S:1:pos:R:3 pbc="T T T"
S 1.499 1.499 1.499
W 2.997 2.997 2.997
S 4.496 4.496 4.496
Tc 0.000 0.000 0.000
```

***

two.
Material: TcWS2
Method: DFT, PBE
State: relaxed

Values from the calculation:
DOS(E_F) in states/eV/atom: 1.10
Total moment in μB per formula unit: 0.00
SG: No. 122

Geometry as extended XYZ:
```
8
Lattice="-1.655 -3.078 4.166 0.201 -4.408 -3.177 4.014 -4.488 1.827" Properties=species:S:1:pos:R:3 pbc="T T T"
Tc 1.744 -6.320 -0.428
S 1.737 -9.893 2.253
W 0.816 -5.655 3.244
S 2.467 -6.198 1.724
W 0.000 0.000 0.000
S 0.003 -3.580 2.641
Tc -0.727 -3.743 0.494
S 0.913 -4.279 -0.985
```

***

three.
Material: TcWS2
Method: DFT, PBE
State: relaxed

Values from the calculation:
DOS(E_F) in states/eV/atom: 0.98
Total moment in μB per formula unit: 0.00
SG: No. 166

Geometry as extended XYZ:
```
4
Lattice="1.751 0.000 7.934 -0.876 1.517 7.934 -0.876 -1.517 7.934" Properties=species:S:1:pos:R:3 pbc="T T T"
W 0.000 0.000 11.901
S 0.000 0.000 21.525
Tc 0.000 0.000 0.000
S 0.000 0.000 2.277
```

***

Stability, lowest: two